First-principles (meta-GGA SCAN) data for a crystal of KHgAs3 relaxed with PBEsol, as listed in Alexandria.

Output
SG: No. 221
Calculated volume, Å³/atom: 28.89
Energy, eV per atom: -26.877
Crystal system: cubic

Unit cell a=5.247 b=5.247 c=5.247 alpha=90.00 beta=90.00 gamma=90.00
Fractional coordinates of all 5 atoms:
K: 0.000 0.000 0.000
Hg: 0.500 0.500 0.500
As: 0.000 0.500 0.500
As: 0.500 0.000 0.500
As: 0.500 0.500 0.000